VASP calculation (GGA-PBE) on a relaxed AgGe2BW crystal.

a b c (Å): 4.719 4.719 5.259
angles (deg): 90.00 90.00 90.00
Fractional coordinates of all 5 atoms:
Ag1 0.000 0.000 0.000
Ge1 0.000 0.500 0.000
Ge2 0.500 0.000 0.000
B1 0.500 0.500 0.500
W1 0.000 0.000 0.500

Properties
Fermi-level density of states in states/eV per atom: 0.7669
Calculated formation energy in eV per atom: 2.42
SG: P4/mmm (123)